# 1
Computed, not measured: crystalline CoMoP2 at its relaxed geometry at the PBE level of DFT.

Cell and atoms, written as CIF:
```
data_CoMoP2
_chemical_formula_sum 'Co4 Mo4 P8'
_cell_length_a 5.333
_cell_length_b 5.333
_cell_length_c 9.702
_cell_angle_alpha 90.00
_cell_angle_beta 90.00
_cell_angle_gamma 90.00
_space_group_name_H-M_alt 'I -4 2 d'
_space_group_IT_number 122
_space_group_name_Hall 'I -4 2bw'
loop_
_atom_site_label
_atom_site_fract_x
_atom_site_fract_y
_atom_site_fract_z
Co1 0.000 0.000 0.000
Mo1 0.000 0.000 0.500
P1 0.219 0.250 0.125
```

## Properties
- ΔH_f (0 K): -0.016 eV per atom
- Spin magnetization: 0.000 μB per formula unit

# 2
Computed, not measured: crystalline CoMoP2 at its relaxed geometry at the PBE level of DFT.

Cell and atoms, written as CIF:
```
data_CoMoP2
_chemical_formula_sum 'Co3 Mo3 P6'
_cell_length_a 2.9034
_cell_length_b 2.9034
_cell_length_c 21.3391
_cell_angle_alpha 90.00
_cell_angle_beta 90.00
_cell_angle_gamma 120.00
_space_group_name_H-M_alt 'R -3 m'
_space_group_IT_number 166
_space_group_name_Hall '-R 3 2"'
loop_
_atom_site_label
_atom_site_fract_x
_atom_site_fract_y
_atom_site_fract_z
Co1 0.0000 0.0000 0.0000
Mo1 0.0000 0.0000 0.5000
P1 0.0000 0.0000 0.2556
```

## Properties
- ΔH_f (0 K): -0.124 eV per atom
- Spin magnetization: 0.000 μB per formula unit

# 3
Computed, not measured: crystalline CoMoP2 at its relaxed geometry at the PBE level of DFT.

Cell and atoms, written as CIF:
```
data_CoMoP2
_chemical_formula_sum 'Co2 Mo2 P4'
_cell_length_a 3.3079
_cell_length_b 3.3079
_cell_length_c 11.1724
_cell_angle_alpha 90.00
_cell_angle_beta 90.00
_cell_angle_gamma 120.00
_space_group_name_H-M_alt 'P 63/m m c'
_space_group_IT_number 194
_space_group_name_Hall '-P 6c 2c'
loop_
_atom_site_label
_atom_site_fract_x
_atom_site_fract_y
_atom_site_fract_z
Co1 0.0000 0.0000 0.0000
Mo1 0.0000 0.0000 0.2500
P1 0.3333 0.6667 0.1088
```

## Properties
- ΔH_f (0 K): -0.632 eV per atom
- Spin magnetization: 0.000 μB per formula unit

# 4
Computed, not measured: crystalline CoMo2P at its relaxed geometry at the PBE level of DFT.

Cell and atoms, written as CIF:
```
data_CoMo2P
_chemical_formula_sum 'Co2 Mo4 P2'
_cell_length_a 3.655
_cell_length_b 3.655
_cell_length_c 8.032
_cell_angle_alpha 90.00
_cell_angle_beta 90.00
_cell_angle_gamma 90.00
_space_group_name_H-M_alt 'I -4 m 2'
_space_group_IT_number 119
_space_group_name_Hall 'I -4 -2'
loop_
_atom_site_label
_atom_site_fract_x
_atom_site_fract_y
_atom_site_fract_z
Co1 0.000 0.000 0.000
Mo1 0.000 0.000 0.500
Mo2 0.000 0.500 0.750
P1 0.000 0.500 0.250
```

## Properties
- ΔH_f (0 K): 0.009 eV per atom
- Spin magnetization: 0.004 μB per formula unit

# 5
Computed, not measured: crystalline CoMo2P at its relaxed geometry at the PBE level of DFT.

Cell and atoms, written as CIF:
```
data_CoMo2P
_chemical_formula_sum 'Co2 Mo4 P2'
_cell_length_a 2.931
_cell_length_b 4.260
_cell_length_c 8.469
_cell_angle_alpha 90.00
_cell_angle_beta 90.00
_cell_angle_gamma 90.00
_space_group_name_H-M_alt 'I m m 2'
_space_group_IT_number 44
loop_
_space_group_symop_operation_xyz
'x,y,z'
'-x,-y,z'
'-x,y,z'
'x,-y,z'
'x+1/2,y+1/2,z+1/2'
'-x+1/2,-y+1/2,z+1/2'
'-x+1/2,y+1/2,z+1/2'
'x+1/2,-y+1/2,z+1/2'
loop_
_atom_site_label
_atom_site_fract_x
_atom_site_fract_y
_atom_site_fract_z
Co1 0.000 0.000 0.000
Mo1 0.000 0.000 0.563
Mo2 0.000 0.500 0.771
P1 0.000 0.500 0.303
```

## Properties
- ΔH_f (0 K): -0.223 eV per atom
- Spin magnetization: 0.023 μB per formula unit

# 6
Computed, not measured: crystalline CoMoP2 at its relaxed geometry at the PBE level of DFT.

Cell and atoms, written as CIF:
```
data_CoMoP2
_chemical_formula_sum 'Co4 Mo4 P8'
_cell_length_a 5.310
_cell_length_b 3.261
_cell_length_c 11.921
_cell_angle_alpha 90.00
_cell_angle_beta 90.00
_cell_angle_gamma 90.00
_space_group_name_H-M_alt 'P n m a'
_space_group_IT_number 62
loop_
_space_group_symop_operation_xyz
'x,y,z'
'-x,-y,-z'
'-x+1/2,-y,z+1/2'
'x+1/2,y,-z+1/2'
'x+1/2,-y+1/2,-z+1/2'
'-x+1/2,y+1/2,z+1/2'
'-x,y+1/2,-z'
'x,-y+1/2,z'
loop_
_atom_site_label
_atom_site_fract_x
_atom_site_fract_y
_atom_site_fract_z
Co1 0.010 0.250 0.088
Mo1 0.012 0.250 0.332
P1 0.138 0.250 0.810
P2 0.198 0.250 0.536
```

## Properties
- ΔH_f (0 K): -0.611 eV per atom
- Spin magnetization: 0.000 μB per formula unit

# 7
Computed, not measured: crystalline CoMoP2 at its relaxed geometry at the PBE level of DFT.

Cell and atoms, written as CIF:
```
data_CoMoP2
_chemical_formula_sum 'Co1 Mo1 P2'
_cell_length_a 4.058
_cell_length_b 4.058
_cell_length_c 3.014
_cell_angle_alpha 90.00
_cell_angle_beta 90.00
_cell_angle_gamma 90.00
_space_group_name_H-M_alt 'P 4/m m m'
_space_group_IT_number 123
_space_group_name_Hall '-P 4 2'
loop_
_atom_site_label
_atom_site_fract_x
_atom_site_fract_y
_atom_site_fract_z
Co1 0.000 0.000 0.000
Mo1 0.500 0.500 0.000
P1 0.000 0.500 0.500
```

## Properties
- ΔH_f (0 K): -0.222 eV per atom
- Spin magnetization: 0.000 μB per formula unit

# 8
Computed, not measured: crystalline CoMo2P at its relaxed geometry at the PBE level of DFT.

Cell and atoms, written as CIF:
```
data_CoMo2P
_chemical_formula_sum 'Co2 Mo4 P2'
_cell_length_a 3.533
_cell_length_b 4.264
_cell_length_c 7.184
_cell_angle_alpha 90.00
_cell_angle_beta 90.00
_cell_angle_gamma 90.00
_space_group_name_H-M_alt 'C m m 2'
_space_group_IT_number 35
loop_
_space_group_symop_operation_xyz
'x,y,z'
'-x,-y,z'
'-x,y,z'
'x,-y,z'
'x+1/2,y+1/2,z'
'-x+1/2,-y+1/2,z'
'-x+1/2,y+1/2,z'
'x+1/2,-y+1/2,z'
loop_
_atom_site_label
_atom_site_fract_x
_atom_site_fract_y
_atom_site_fract_z
Co1 0.000 0.000 0.000
Mo1 0.000 0.000 0.420
Mo2 0.000 0.500 0.720
P1 0.000 0.500 0.169
```

## Properties
- ΔH_f (0 K): 0.006 eV per atom
- Spin magnetization: 0.000 μB per formula unit

# 9
Computed, not measured: crystalline CoMoP3 at its relaxed geometry at the PBE level of DFT.

Cell and atoms, written as CIF:
```
data_CoMoP3
_chemical_formula_sum 'Co1 Mo1 P3'
_cell_length_a 4.627
_cell_length_b 4.627
_cell_length_c 4.627
_cell_angle_alpha 90.00
_cell_angle_beta 90.00
_cell_angle_gamma 90.00
_space_group_name_H-M_alt 'P m -3 m'
_space_group_IT_number 221
_space_group_name_Hall '-P 4 2 3'
loop_
_atom_site_label
_atom_site_fract_x
_atom_site_fract_y
_atom_site_fract_z
Co1 0.000 0.000 0.000
Mo1 0.500 0.500 0.500
P1 0.000 0.500 0.500
```

## Properties
- Distance to the lowest polymorph of the same formula: 0.255 eV per atom
- ΔH_f (0 K): 1.049 eV per atom
- Spin magnetization: 0.000 μB per formula unit

# 10
Computed, not measured: crystalline CoMo2P at its relaxed geometry at the PBE level of DFT.

Cell and atoms, written as CIF:
```
data_CoMo2P
_chemical_formula_sum 'Co4 Mo8 P4'
_cell_length_a 6.008
_cell_length_b 6.008
_cell_length_c 6.008
_cell_angle_alpha 90.00
_cell_angle_beta 90.00
_cell_angle_gamma 90.00
_space_group_name_H-M_alt 'F -4 3 m'
_space_group_IT_number 216
_space_group_name_Hall 'F -4 2 3'
loop_
_atom_site_label
_atom_site_fract_x
_atom_site_fract_y
_atom_site_fract_z
Co1 0.000 0.000 0.000
Mo1 0.000 0.000 0.500
Mo2 0.250 0.250 0.750
P1 0.250 0.250 0.250
```

## Properties
- ΔH_f (0 K): 0.156 eV per atom
- Spin magnetization: 1.808 μB per formula unit

# 11
Computed, not measured: crystalline CoMoP2 at its relaxed geometry at the PBE level of DFT.

Cell and atoms, written as CIF:
```
data_CoMoP2
_chemical_formula_sum 'Co1 Mo1 P2'
_cell_length_a 3.077
_cell_length_b 3.359
_cell_length_c 5.202
_cell_angle_alpha 90.00
_cell_angle_beta 90.00
_cell_angle_gamma 90.00
_space_group_name_H-M_alt 'P m m m'
_space_group_IT_number 47
loop_
_space_group_symop_operation_xyz
'x,y,z'
'-x,-y,-z'
'-x,-y,z'
'x,y,-z'
'x,-y,-z'
'-x,y,z'
'-x,y,-z'
'x,-y,z'
loop_
_atom_site_label
_atom_site_fract_x
_atom_site_fract_y
_atom_site_fract_z
Co1 0.000 0.000 0.000
Mo1 0.500 0.000 0.500
P1 0.000 0.500 0.261
```

## Properties
- ΔH_f (0 K): -0.196 eV per atom
- Spin magnetization: 0.000 μB per formula unit

# 12
Computed, not measured: crystalline PaCoMoP2 at its relaxed geometry at the PBE level of DFT.

Cell and atoms, written as CIF:
```
data_PaCoMoP2
_chemical_formula_sum 'Pa2 Co2 Mo2 P4'
_cell_length_a 4.002
_cell_length_b 4.002
_cell_length_c 9.795
_cell_angle_alpha 90.00
_cell_angle_beta 90.00
_cell_angle_gamma 90.00
_space_group_name_H-M_alt 'I -4 m 2'
_space_group_IT_number 119
_space_group_name_Hall 'I -4 -2'
loop_
_atom_site_label
_atom_site_fract_x
_atom_site_fract_y
_atom_site_fract_z
Pa1 0.000 0.000 0.000
Co1 0.000 0.500 0.250
Mo1 0.000 0.500 0.750
P1 0.000 0.000 0.374
```

## Properties
- ΔH_f (0 K): -0.729 eV per atom
- Spin magnetization: 0.000 μB per formula unit

# 13
Computed, not measured: crystalline Co2MoPPt at its relaxed geometry at the PBE level of DFT.

Cell and atoms, written as CIF:
```
data_Co2MoPPt
_chemical_formula_sum 'Co2 Mo1 P1 Pt1'
_cell_length_a 4.390
_cell_length_b 4.390
_cell_length_c 4.538
_cell_angle_alpha 90.00
_cell_angle_beta 90.00
_cell_angle_gamma 90.00
_space_group_name_H-M_alt 'P 4/m m m'
_space_group_IT_number 123
_space_group_name_Hall '-P 4 2'
loop_
_atom_site_label
_atom_site_fract_x
_atom_site_fract_y
_atom_site_fract_z
Co1 0.000 0.500 0.000
Mo1 0.000 0.000 0.000
P1 0.000 0.000 0.500
Pt1 0.500 0.500 0.500
```

## Properties
- ΔH_f (0 K): 1.252 eV per atom
- Spin magnetization: 1.883 μB per formula unit

# 14
Computed, not measured: crystalline RbCoMo2P at its relaxed geometry at the PBE level of DFT.

Cell and atoms, written as CIF:
```
data_RbCoMo2P
_chemical_formula_sum 'Rb1 Co1 Mo2 P1'
_cell_length_a 4.742
_cell_length_b 4.742
_cell_length_c 4.332
_cell_angle_alpha 90.00
_cell_angle_beta 90.00
_cell_angle_gamma 90.00
_space_group_name_H-M_alt 'P 4/m m m'
_space_group_IT_number 123
_space_group_name_Hall '-P 4 2'
loop_
_atom_site_label
_atom_site_fract_x
_atom_site_fract_y
_atom_site_fract_z
Rb1 0.000 0.000 0.000
Co1 0.500 0.500 0.000
Mo1 0.000 0.500 0.500
P1 0.500 0.500 0.500
```

## Properties
- ΔH_f (0 K): 1.098 eV per atom
- Spin magnetization: 3.468 μB per formula unit